(1)
Entry from Alexandria: a geometry-optimized Li2TiSn structure (GGA-PBE).

Properties
* VASP energy: -3.894 eV per atom
* symmetry: I-42d

Cell lengths 10.719, 10.719, 10.719 Å; angles 158.83, 158.83, 30.11 degrees
Positions (direct):
Li 0.112 0.625 0.987
Li 0.375 0.362 0.487
Li 0.638 0.125 0.013
Li 0.875 0.888 0.513
Ti 0.250 0.750 0.500
Ti 0.500 0.500 0.000
Sn 0.000 0.000 0.000
Sn 0.750 0.250 0.500

(2)
Entry from Alexandria: a geometry-optimized LiTi3Sn structure (GGA-PBE).

Properties
* relative energy among the computed polymorphs: 575.5 meV per atom
* VASP energy: -4.879 eV per atom
* symmetry: Pm-3m

Cell lengths 5.154, 5.154, 5.154 Å; angles 90.00, 90.00, 90.00 degrees
Positions (direct):
Li 0.000 0.000 0.000
Ti 0.000 0.500 0.500
Ti 0.500 0.000 0.500
Ti 0.500 0.500 0.000
Sn 0.500 0.500 0.500

(3)
Entry from Alexandria: a geometry-optimized LiTiSn structure (GGA-PBE).

Properties
* VASP energy: -4.690 eV per atom
* symmetry: C2/m

Cell lengths 4.906, 4.906, 5.628 Å; angles 101.86, 101.86, 60.44 degrees
Positions (direct):
Li 0.017 0.017 0.246
Li 0.983 0.983 0.754
Ti 0.336 0.336 0.153
Ti 0.664 0.664 0.847
Sn 0.313 0.313 0.664
Sn 0.687 0.687 0.336

(4)
Entry from Alexandria: a geometry-optimized Li9Ti4Sn11 structure (GGA-PBE).

Properties
* VASP energy: -4.133 eV per atom
* symmetry: Cmmm

Cell lengths 13.281, 13.281, 3.060 Å; angles 90.00, 90.00, 112.69 degrees
Positions (direct):
Li 0.000 0.000 0.000
Li 0.142 0.659 0.000
Li 0.290 0.426 0.000
Li 0.341 0.858 0.000
Li 0.426 0.290 0.000
Li 0.574 0.710 0.000
Li 0.659 0.142 0.000
Li 0.710 0.574 0.000
Li 0.858 0.341 0.000
Ti 0.052 0.263 0.000
Ti 0.263 0.052 0.000
Ti 0.737 0.948 0.000
Ti 0.948 0.737 0.000
Sn 0.097 0.460 0.500
Sn 0.138 0.862 0.500
Sn 0.195 0.195 0.500
Sn 0.349 0.651 0.500
Sn 0.460 0.097 0.500
Sn 0.500 0.500 0.500
Sn 0.540 0.903 0.500
Sn 0.651 0.349 0.500
Sn 0.805 0.805 0.500
Sn 0.862 0.138 0.500
Sn 0.903 0.540 0.500

(5)
Entry from Alexandria: a geometry-optimized Li2TiSn2 structure (GGA-PBE).

Properties
* relative energy among the computed polymorphs: 0.0 meV per atom
* VASP energy: -4.111 eV per atom
* symmetry: P4/mbm

Cell lengths 7.758, 7.758, 3.041 Å; angles 90.00, 90.00, 90.00 degrees
Positions (direct):
Li 0.113 0.387 0.000
Li 0.387 0.887 0.000
Li 0.613 0.113 0.000
Li 0.887 0.613 0.000
Ti 0.000 0.000 0.000
Ti 0.500 0.500 0.000
Sn 0.184 0.684 0.500
Sn 0.316 0.184 0.500
Sn 0.684 0.816 0.500
Sn 0.816 0.316 0.500

(6)
Entry from Alexandria: a geometry-optimized LiTi3Sn structure (GGA-PBE).

Properties
* relative energy among the computed polymorphs: 0.0 meV per atom
* VASP energy: -5.455 eV per atom
* symmetry: Pm-3m

Cell lengths 4.461, 4.461, 4.461 Å; angles 90.00, 90.00, 90.00 degrees
Positions (direct):
Li 0.000 0.000 0.000
Ti 0.000 0.000 0.500
Ti 0.000 0.500 0.000
Ti 0.500 0.000 0.000
Sn 0.500 0.500 0.500

(7)
Entry from Alexandria: a geometry-optimized LiTiSn structure (GGA-PBE).

Properties
* VASP energy: -4.930 eV per atom
* symmetry: Pmmn

Cell lengths 3.169, 3.859, 9.101 Å; angles 90.00, 90.00, 90.00 degrees
Positions (direct):
Li 0.250 0.250 0.084
Li 0.750 0.750 0.916
Ti 0.250 0.250 0.424
Ti 0.750 0.750 0.576
Sn 0.250 0.250 0.753
Sn 0.750 0.750 0.247

(8)
Entry from Alexandria: a geometry-optimized LiTiSn structure (GGA-PBE).

Properties
* VASP energy: -4.623 eV per atom
* symmetry: I4mm

Cell lengths 5.834, 5.834, 5.834 Å; angles 148.42, 148.42, 45.27 degrees
Positions (direct):
Li 0.000 0.000 0.000
Ti 0.330 0.330 0.000
Sn 0.649 0.649 0.000

(9)
Entry from Alexandria: a geometry-optimized Li2TiVSn structure (GGA-PBE).

Properties
* VASP energy: -4.109 eV per atom
* symmetry: P4/mmm

Cell lengths 4.652, 4.652, 5.088 Å; angles 90.00, 90.00, 90.00 degrees
Positions (direct):
Li 0.000 0.500 0.000
Li 0.500 0.000 0.000
Ti 0.000 0.000 0.500
V 0.500 0.500 0.500
Sn 0.500 0.500 0.000

(10)
Entry from Alexandria: a geometry-optimized Li2ZrTiSn structure (GGA-PBE).

Properties
* VASP energy: -4.239 eV per atom
* symmetry: P4/mmm

Cell lengths 4.741, 4.741, 5.512 Å; angles 90.00, 90.00, 90.00 degrees
Positions (direct):
Li 0.000 0.500 0.000
Li 0.500 0.000 0.000
Zr 0.000 0.000 0.500
Ti 0.500 0.500 0.500
Sn 0.000 0.000 0.000

(11)
Entry from Alexandria: a geometry-optimized Li4TlSn3 structure (GGA-PBE).

Properties
* VASP energy: -3.049 eV per atom
* symmetry: P4/mmm

Cell lengths 3.402, 3.402, 14.248 Å; angles 90.00, 90.00, 90.00 degrees
Positions (direct):
Li 0.000 0.000 0.125
Li 0.000 0.000 0.369
Li 0.000 0.000 0.631
Li 0.000 0.000 0.875
Tl 0.500 0.500 0.500
Sn 0.500 0.500 0.000
Sn 0.500 0.500 0.248
Sn 0.500 0.500 0.752

(12)
Entry from Alexandria: a geometry-optimized Li2TlSn4 structure (GGA-PBE).

Properties
* VASP energy: -3.277 eV per atom
* symmetry: Fmmm

Cell lengths 7.366, 6.378, 5.913 Å; angles 73.53, 56.14, 50.33 degrees
Positions (direct):
Li 0.223 0.223 0.777
Li 0.777 0.777 0.223
Tl 0.500 0.500 0.500
Sn 0.167 0.833 0.167
Sn 0.250 0.250 0.250
Sn 0.750 0.750 0.750
Sn 0.833 0.167 0.833